[1]
A relaxed structure of ScSbRuC2, computed with PBE.

Lattice parameters (Å, degrees): 4.221 4.972 4.221 90.00 90.00 90.00
Atoms (fractional coordinates):
C1 0.000 0.000 0.500
C2 0.500 0.000 0.000
Sc1 0.500 0.500 0.500
Sb1 0.000 0.000 0.000
Ru1 0.000 0.500 0.000

Results
**Raw total energy**: -5.692 eV per atom
**Energy relative to the elements, uncorrected**: 1.94 eV/atom
**Space group**: P4/mmm (123)
**Spin magnetization**: 0.000 μB/f.u.

---

[2]
A relaxed structure of NdZnCdHg, computed with PBE.

Lattice parameters (Å, degrees): 5.072 5.072 5.072 60.00 60.00 60.00
Atoms (fractional coordinates):
Nd1 0.250 0.250 0.250
Zn1 0.000 0.000 0.000
Cd1 0.750 0.750 0.750
Hg1 0.500 0.500 0.500

Results
**Formation enthalpy at 0 K**: -0.34 eV per atom
**Raw total energy**: -2.155 eV per atom
**Space group**: F-43m (216)
**Spin magnetization**: 0.000 μB/f.u.

---

[3]
A relaxed structure of TlSiHg2, computed with PBE.

Lattice parameters (Å, degrees): 6.329 6.329 6.329 149.71 128.96 60.51
Atoms (fractional coordinates):
Hg1 0.966 0.966 0.000
Si1 0.750 0.250 0.500
Tl1 0.250 0.750 0.500
Hg2 0.534 0.534 0.000

Results
**Raw total energy**: -1.764 eV per atom
**Energy relative to the elements, uncorrected**: 0.33 eV/atom
**Space group**: Immm (71)
**Spin magnetization**: 0.000 μB/f.u.

---

[4]
A relaxed structure of SrAl2Zn, computed with PBE.

Lattice parameters (Å, degrees): 3.362 3.638 7.364 90.00 90.00 90.00
Atoms (fractional coordinates):
Al1 0.000 0.000 0.568
Al2 0.000 0.000 0.932
Zn1 0.500 0.500 0.750
Sr1 0.500 0.500 0.250

Results
**Formation enthalpy at 0 K**: -0.05 eV per atom
**Raw total energy**: -2.665 eV per atom
**Space group**: Pmmm (47)
**Spin magnetization**: 0.000 μB/f.u.

---

[5]
A relaxed structure of Al2Ag2Au, computed with PBE.

Lattice parameters (Å, degrees): 3.784 3.784 7.028 74.38 74.38 90.00
Atoms (fractional coordinates):
Al1 0.250 0.750 0.500
Al2 0.750 0.250 0.500
Au1 0.000 0.000 0.000
Ag1 0.605 0.605 0.790
Ag2 0.395 0.395 0.210

Results
**Energy above the most stable polymorph in this dataset**: 191.4 meV per atom
**Formation enthalpy at 0 K**: 0.12 eV per atom
**Raw total energy**: -3.173 eV per atom
**Space group**: I4/mmm (139)
**Spin magnetization**: 0.000 μB/f.u.

---

[6]
A relaxed structure of PbSeCl6, computed with PBE.

Lattice parameters (Å, degrees): 6.621 6.621 7.178 62.53 62.53 60.00
Atoms (fractional coordinates):
Cl1 0.787 0.053 0.771
Se1 0.000 0.000 0.000
Pb1 0.500 0.500 0.500
Cl2 0.389 0.787 0.771
Cl3 0.611 0.213 0.229
Cl4 0.213 0.947 0.229
Cl5 0.947 0.611 0.229
Cl6 0.053 0.389 0.771

Results
**Raw total energy**: -2.859 eV per atom
**Energy relative to the elements, uncorrected**: -0.58 eV/atom
**Space group**: R-3 (148)
**Spin magnetization**: 0.000 μB/f.u.

---

[7]
A relaxed structure of AcYGaSi, computed with PBE.

Lattice parameters (Å, degrees): 5.272 5.272 5.272 60.00 60.00 60.00
Atoms (fractional coordinates):
Y1 0.500 0.500 0.500
Ga1 0.250 0.250 0.250
Ac1 0.000 0.000 0.000
Si1 0.750 0.750 0.750

Results
**Raw total energy**: -5.167 eV per atom
**Energy relative to the elements, uncorrected**: -0.41 eV/atom
**Space group**: F-43m (216)
**Spin magnetization**: 0.000 μB/f.u.

---

[8]
A relaxed structure of MgIn6S8, computed with PBE.

Lattice parameters (Å, degrees): 7.704 7.704 7.704 98.32 98.32 98.32
Atoms (fractional coordinates):
S1 0.161 0.667 0.389
S2 0.389 0.161 0.667
In1 0.638 0.458 0.841
S3 0.839 0.333 0.611
In2 0.159 0.362 0.542
S4 0.667 0.389 0.161
S5 0.611 0.839 0.333
S6 0.206 0.206 0.206
In3 0.362 0.542 0.159
In4 0.841 0.638 0.458
Mg1 0.000 0.000 0.000
In5 0.542 0.159 0.362
S7 0.794 0.794 0.794
S8 0.333 0.611 0.839
In6 0.458 0.841 0.638

Results
**Raw total energy**: -3.732 eV per atom
**Energy relative to the elements, uncorrected**: -0.33 eV/atom
**Space group**: R-3 (148)
**Spin magnetization**: 0.000 μB/f.u.

---

[9]
A relaxed structure of BaRe2BiW, computed with PBE.

Lattice parameters (Å, degrees): 4.844 5.776 4.844 90.00 90.00 90.00
Atoms (fractional coordinates):
Re1 0.000 0.000 0.500
Re2 0.500 0.000 0.000
W1 0.000 0.000 0.000
Ba1 0.000 0.500 0.000
Bi1 0.500 0.500 0.500

Results
**Formation enthalpy at 0 K**: 1.65 eV per atom
**Raw total energy**: -7.085 eV per atom
**Space group**: P4/mmm (123)
**Spin magnetization**: 0.000 μB/f.u.

---

[10]
A relaxed structure of PrErInNi, computed with PBE.

Lattice parameters (Å, degrees): 5.181 5.181 5.181 60.00 60.00 60.00
Atoms (fractional coordinates):
Er1 0.000 0.000 0.000
In1 0.750 0.750 0.750
Ni1 0.250 0.250 0.250
Pr1 0.500 0.500 0.500

Results
**Formation enthalpy at 0 K**: -0.26 eV per atom
**Raw total energy**: -4.722 eV per atom
**Space group**: F-43m (216)
**Spin magnetization**: 0.000 μB/f.u.

---

[11]
A relaxed structure of PmSm2TmSb4, computed with PBE.

Lattice parameters (Å, degrees): 4.447 7.696 7.697 109.50 90.00 90.00
Atoms (fractional coordinates):
Sb1 0.000 0.246 0.752
Sb2 0.000 0.754 0.248
Sm1 0.000 0.500 0.500
Tm1 0.000 0.000 0.000
Pm1 0.500 0.500 0.000
Sb3 0.500 0.243 0.244
Sb4 0.500 0.757 0.756
Sm2 0.500 0.000 0.500

Results
**Raw total energy**: -5.540 eV per atom
**Energy relative to the elements, uncorrected**: -1.15 eV/atom
**Space group**: P2/m (10)
**Spin magnetization**: 0.000 μB/f.u.

---

[12]
A relaxed structure of FeSnMo2, computed with PBE.

Lattice parameters (Å, degrees): 7.191 7.191 5.727 51.11 51.11 90.00
Atoms (fractional coordinates):
Sn1 0.000 0.000 0.000
Sn2 0.750 0.250 0.500
Mo1 0.569 0.125 0.250
Mo2 0.375 0.431 0.750
Mo3 0.875 0.819 0.750
Mo4 0.181 0.625 0.250
Fe1 0.500 0.500 0.000
Fe2 0.250 0.750 0.500

Results
**Formation enthalpy at 0 K**: 0.60 eV per atom
**Raw total energy**: -7.929 eV per atom
**Space group**: I-42d (122)
**Spin magnetization**: 0.000 μB/f.u.